This record from Alexandria describes a geometry-optimized Li4MnCr3O8 structure. The functional is PBE+U. Values from VASP.

Quantum ESPRESSO input file:
```
&SYSTEM
  ibrav = 0, nat = 16, ntyp = 4
/
ATOMIC_SPECIES
Li 6.94 Li.upf
Mn 54.94 Mn.upf
Cr 52.00 Cr.upf
O 16.00 O.upf
ATOMIC_POSITIONS crystal
Li 0.000 0.000 0.000
Li 0.000 0.500 0.500
Li 0.500 0.000 0.500
Li 0.500 0.500 0.000
Mn 0.000 0.000 0.500
Cr 0.000 0.500 0.000
Cr 0.500 0.000 0.000
Cr 0.500 0.500 0.500
O 0.232 0.745 0.258
O 0.255 0.768 0.742
O 0.258 0.258 0.774
O 0.262 0.262 0.248
O 0.738 0.738 0.752
O 0.742 0.742 0.226
O 0.745 0.232 0.258
O 0.768 0.255 0.742
CELL_PARAMETERS angstrom
5.199 -2.950 0.000
5.199 2.950 0.000
-3.348 0.000 4.874
```

**Crystal system**: monoclinic
**VASP energy**: -6.8208 eV per atom
**Size of the total moment**: 0.81 μB per atom
**Calculated density**: 4.07 g/cm3